Record 1
# NbSiAg2C (PBE, relaxed)
data_NbSiAg2C
_chemical_formula_sum 'Nb1 Si1 Ag2 C1'
_symmetry_space_group_name_H-M 'P 1'
_symmetry_Int_Tables_number 1
_cell_length_a 4.2258
_cell_length_b 4.4096
_cell_length_c 4.2258
_cell_angle_alpha 90.00
_cell_angle_beta 90.00
_cell_angle_gamma 90.00
loop_
_symmetry_equiv_pos_as_xyz
'x,y,z'
loop_
_atom_site_label
_atom_site_type_symbol
_atom_site_fract_x
_atom_site_fract_y
_atom_site_fract_z
Nb1 Nb 0.0000 0.5000 0.0000
Ag1 Ag 0.5000 0.0000 0.0000
C1 C 0.0000 0.0000 0.0000
Ag2 Ag 0.0000 0.0000 0.5000
Si1 Si 0.5000 0.5000 0.5000
# - space-group type = P4/mmm (123)
# - formation energy from raw total energies (eV/atom) = 0.58

***

Record 2
# Rb3PuAl2O8 (PBE, relaxed)
data_Rb3PuAl2O8
_chemical_formula_sum 'Rb3 Pu1 Al2 O8'
_symmetry_space_group_name_H-M 'P 1'
_symmetry_Int_Tables_number 1
_cell_length_a 5.7651
_cell_length_b 5.7651
_cell_length_c 8.7488
_cell_angle_alpha 90.00
_cell_angle_beta 90.00
_cell_angle_gamma 120.00
loop_
_symmetry_equiv_pos_as_xyz
'x,y,z'
loop_
_atom_site_label
_atom_site_type_symbol
_atom_site_fract_x
_atom_site_fract_y
_atom_site_fract_z
Al1 Al 0.3333 0.6667 0.2916
Pu1 Pu 0.0000 0.0000 0.5000
O1 O 0.6696 0.8348 0.3644
O2 O 0.8348 0.1652 0.6356
Al2 Al 0.6667 0.3333 0.7084
Rb1 Rb 0.3333 0.6667 0.7916
O3 O 0.3304 0.1652 0.6356
O4 O 0.1652 0.8348 0.3644
O5 O 0.6667 0.3333 0.9030
O6 O 0.1652 0.3304 0.3644
O7 O 0.3333 0.6667 0.0970
Rb2 Rb 0.0000 0.0000 0.0000
O8 O 0.8348 0.6696 0.6356
Rb3 Rb 0.6667 0.3333 0.2084
# - space-group type = P-3m1 (164)
# - formation energy from raw total energies (eV/atom) = -2.26

***

Record 3
# YFeS2Cl (PBE, relaxed)
data_YFeS2Cl
_chemical_formula_sum 'Y1 Fe1 S2 Cl1'
_symmetry_space_group_name_H-M 'P 1'
_symmetry_Int_Tables_number 1
_cell_length_a 5.2639
_cell_length_b 5.2639
_cell_length_c 5.1059
_cell_angle_alpha 90.00
_cell_angle_beta 90.00
_cell_angle_gamma 90.00
loop_
_symmetry_equiv_pos_as_xyz
'x,y,z'
loop_
_atom_site_label
_atom_site_type_symbol
_atom_site_fract_x
_atom_site_fract_y
_atom_site_fract_z
Fe1 Fe 0.5000 0.5000 0.5000
S1 S 0.5000 0.0000 0.0000
Cl1 Cl 0.0000 0.0000 0.5000
Y1 Y 0.0000 0.0000 0.0000
S2 S 0.0000 0.5000 0.0000
# - space-group type = P4/mmm (123)
# - formation energy from raw total energies (eV/atom) = -0.30

***

Record 4
# NbCr3 (PBE, relaxed)
data_NbCr3
_chemical_formula_sum 'Nb3 Cr9'
_symmetry_space_group_name_H-M 'P 1'
_symmetry_Int_Tables_number 1
_cell_length_a 4.8553
_cell_length_b 4.8553
_cell_length_c 8.5052
_cell_angle_alpha 90.02
_cell_angle_beta 106.58
_cell_angle_gamma 119.96
loop_
_symmetry_equiv_pos_as_xyz
'x,y,z'
loop_
_atom_site_label
_atom_site_type_symbol
_atom_site_fract_x
_atom_site_fract_y
_atom_site_fract_z
Cr1 Cr 0.0000 0.5000 0.5000
Cr2 Cr 0.3333 0.4141 0.7475
Nb1 Nb 0.0000 0.0000 0.0000
Nb2 Nb 0.2885 0.1443 0.4328
Cr3 Cr 0.6667 0.5859 0.2525
Cr4 Cr 0.6668 0.0810 0.2526
Cr5 Cr 0.3332 0.9190 0.7474
Cr6 Cr 0.3355 0.6675 0.0030
Cr7 Cr 0.1716 0.5859 0.2526
Cr8 Cr 0.8284 0.4141 0.7474
Cr9 Cr 0.6645 0.3325 0.9970
Nb3 Nb 0.7115 0.8557 0.5672
# - energy relative to the elements (eV per atom) = 0.073
# - space-group type = R-3m (166)

***

Record 5
# Ca2NbW (PBE, relaxed)
data_Ca2NbW
_chemical_formula_sum 'Ca2 Nb1 W1'
_symmetry_space_group_name_H-M 'P 1'
_symmetry_Int_Tables_number 1
_cell_length_a 5.0788
_cell_length_b 5.0788
_cell_length_c 5.0788
_cell_angle_alpha 60.00
_cell_angle_beta 60.00
_cell_angle_gamma 60.00
loop_
_symmetry_equiv_pos_as_xyz
'x,y,z'
loop_
_atom_site_label
_atom_site_type_symbol
_atom_site_fract_x
_atom_site_fract_y
_atom_site_fract_z
Ca1 Ca 0.7500 0.7500 0.7500
Nb1 Nb 0.0000 0.0000 0.0000
Ca2 Ca 0.2500 0.2500 0.2500
W1 W 0.5000 0.5000 0.5000
# - energy relative to the elements (eV per atom) = 1.430
# - space-group type = Fm-3m (225)

***

Record 6
# SrMg2Ag2 (PBE, relaxed)
data_SrMg2Ag2
_chemical_formula_sum 'Sr2 Mg4 Ag4'
_symmetry_space_group_name_H-M 'P 1'
_symmetry_Int_Tables_number 1
_cell_length_a 8.4331
_cell_length_b 8.4331
_cell_length_c 3.2661
_cell_angle_alpha 90.00
_cell_angle_beta 90.00
_cell_angle_gamma 90.00
loop_
_symmetry_equiv_pos_as_xyz
'x,y,z'
loop_
_atom_site_label
_atom_site_type_symbol
_atom_site_fract_x
_atom_site_fract_y
_atom_site_fract_z
Mg1 Mg 0.8762 0.6238 0.0000
Mg2 Mg 0.3762 0.8762 0.0000
Ag1 Ag 0.3295 0.1705 0.5000
Mg3 Mg 0.1238 0.3762 0.0000
Ag2 Ag 0.1705 0.6705 0.5000
Sr1 Sr 0.0000 0.0000 0.0000
Mg4 Mg 0.6238 0.1238 0.0000
Sr2 Sr 0.5000 0.5000 0.0000
Ag3 Ag 0.6705 0.8295 0.5000
Ag4 Ag 0.8295 0.3295 0.5000
# - energy relative to the elements (eV per atom) = -0.136
# - space-group type = P4/mbm (127)

***

Record 7
# ScBi2MoI (PBE, relaxed)
data_ScBi2MoI
_chemical_formula_sum 'Sc1 Bi2 Mo1 I1'
_symmetry_space_group_name_H-M 'P 1'
_symmetry_Int_Tables_number 1
_cell_length_a 5.6143
_cell_length_b 5.2512
_cell_length_c 5.6143
_cell_angle_alpha 90.00
_cell_angle_beta 90.00
_cell_angle_gamma 90.00
loop_
_symmetry_equiv_pos_as_xyz
'x,y,z'
loop_
_atom_site_label
_atom_site_type_symbol
_atom_site_fract_x
_atom_site_fract_y
_atom_site_fract_z
Bi1 Bi 0.5000 0.0000 0.0000
I1 I 0.5000 0.5000 0.5000
Bi2 Bi 0.0000 0.0000 0.5000
Mo1 Mo 0.0000 0.5000 0.0000
Sc1 Sc 0.0000 0.0000 0.0000
# - space-group type = P4/mmm (123)
# - formation energy from raw total energies (eV/atom) = 0.92

***

Record 8
# GaRe3Te (PBE, relaxed)
data_GaRe3Te
_chemical_formula_sum 'Ga1 Re3 Te1'
_symmetry_space_group_name_H-M 'P 1'
_symmetry_Int_Tables_number 1
_cell_length_a 4.6163
_cell_length_b 4.6163
_cell_length_c 4.6163
_cell_angle_alpha 90.00
_cell_angle_beta 90.00
_cell_angle_gamma 90.00
loop_
_symmetry_equiv_pos_as_xyz
'x,y,z'
loop_
_atom_site_label
_atom_site_type_symbol
_atom_site_fract_x
_atom_site_fract_y
_atom_site_fract_z
Re1 Re 0.0000 0.0000 0.5000
Ga1 Ga 0.0000 0.0000 0.0000
Re2 Re 0.0000 0.5000 0.0000
Re3 Re 0.5000 0.0000 0.0000
Te1 Te 0.5000 0.5000 0.5000
# - space-group type = Pm-3m (221)
# - formation energy from raw total energies (eV/atom) = 1.98

***

One value per record, in order, for total magnetization: 0.000, 0.940, 3.529, 0.000, 0.000, 0.000, 2.714, 2.235 μB/cell.
One value per record, in order, for V: 15.75, 17.99, 28.30, 13.67, 23.16, 23.23, 33.10, 19.67 A^3/atom.
One value per record, in order, for VASP energy: -5.50, -6.86, -5.31, -9.66, -5.33, -2.25, -4.37, -6.72 eV/atom.